First-principles (PBE) data for a relaxed structure of LuPuScAl, as listed in Alexandria via LeMat-Bulk.

Magnetization, Bohr magnetons per cell: 24.72
Density, g/cm³: 8.50
DFT total energy, eV/cell: -116.25

Cell: 7.2651 7.2651 7.2651 Å, 90.00 90.00 90.00°
Last column: nearest neighbours and their distance in Å.
Space group F-43m (No. 216)
Asymmetric unit:
Lu1 0.0000 0.0000 0.0000  4 Al 3.15, 4 Sc 3.15
Pu1 0.0000 0.0000 0.5000  4 Sc 3.15, 4 Al 3.15
Sc1 0.2500 0.2500 0.7500  4 Pu 3.15, 4 Lu 3.15
Al1 0.2500 0.2500 0.2500  4 Pu 3.15, 4 Lu 3.15